1.
DFT (GGA-PBE) results for an optimized crystal structure of PrSmI2.

SG: No. 225
Formation energy (no corrections): -0.78 eV per atom
Total magnetic moment: 0.00 μB/cell
Excess energy over the best structure of this formula in the dataset: 65.6 meV/atom
Calculated density: 7.69 g/cm3

Lattice parameters (Å, degrees): 7.781 7.781 7.781 90.00 90.00 90.00
Element x y z (fractional)
Pr: 0.000 0.000 0.000
Pr: 0.000 0.500 0.500
Pr: 0.500 0.000 0.500
Pr: 0.500 0.500 0.000
Sm: 0.000 0.000 0.500
Sm: 0.000 0.500 0.000
Sm: 0.500 0.000 0.000
Sm: 0.500 0.500 0.500
I: 0.250 0.250 0.250
I: 0.250 0.250 0.750
I: 0.250 0.750 0.250
I: 0.250 0.750 0.750
I: 0.750 0.250 0.250
I: 0.750 0.250 0.750
I: 0.750 0.750 0.250
I: 0.750 0.750 0.750



2.
DFT (GGA-PBE) results for an optimized crystal structure of PrSmI5.

SG: No. 11
Formation energy (no corrections): -1.38 eV per atom
Total magnetic moment: 1.96 μB/cell
Calculated density: 5.06 g/cm3

Lattice parameters (Å, degrees): 9.426 4.318 14.985 90.00 95.28 90.00
Element x y z (fractional)
Pr: 0.106 0.250 0.150
Pr: 0.894 0.750 0.850
Sm: 0.414 0.750 0.343
Sm: 0.586 0.250 0.657
I: 0.072 0.750 0.308
I: 0.134 0.250 0.928
I: 0.323 0.250 0.483
I: 0.354 0.750 0.128
I: 0.369 0.750 0.710
I: 0.631 0.250 0.290
I: 0.646 0.250 0.872
I: 0.677 0.750 0.517
I: 0.866 0.750 0.072
I: 0.928 0.250 0.692



3.
DFT (GGA-PBE) results for an optimized crystal structure of PrSnI5.

SG: No. 11
Formation energy (no corrections): -1.00 eV per atom
Total magnetic moment: 0.00 μB/cell
Calculated density: 4.65 g/cm3

Lattice parameters (Å, degrees): 9.227 4.571 15.192 90.00 94.24 90.00
Element x y z (fractional)
Pr: 0.092 0.250 0.151
Pr: 0.908 0.750 0.849
Sn: 0.402 0.750 0.369
Sn: 0.598 0.250 0.631
I: 0.118 0.250 0.791
I: 0.150 0.250 0.368
I: 0.183 0.750 0.013
I: 0.359 0.750 0.570
I: 0.429 0.250 0.187
I: 0.571 0.750 0.813
I: 0.641 0.250 0.430
I: 0.817 0.250 0.987
I: 0.850 0.750 0.632
I: 0.882 0.750 0.209



4.
DFT (GGA-PBE) results for an optimized crystal structure of Pr4Sn2I3.

SG: No. 12
Formation energy (no corrections): -1.04 eV per atom
Total magnetic moment: 0.00 μB/cell
Calculated density: 5.68 g/cm3

Lattice parameters (Å, degrees): 4.572 4.572 19.088 90.02 90.02 60.00
Element x y z (fractional)
Pr: 0.000 0.000 0.206
Pr: 0.000 0.000 0.794
Pr: 0.333 0.333 0.613
Pr: 0.667 0.667 0.387
Sn: 0.333 0.333 0.300
Sn: 0.667 0.667 0.700
I: 0.000 0.000 0.500
I: 0.334 0.334 0.897
I: 0.666 0.666 0.103



5.
DFT (GGA-PBE) results for an optimized crystal structure of PrSnI.

SG: No. 139
Formation energy (no corrections): -1.00 eV per atom
Total magnetic moment: 0.00 μB/cell
Calculated density: 6.27 g/cm3

Lattice parameters (Å, degrees): 4.343 4.343 21.710 90.00 90.00 90.00
Element x y z (fractional)
Pr: 0.000 0.000 0.111
Pr: 0.000 0.000 0.889
Pr: 0.500 0.500 0.389
Pr: 0.500 0.500 0.611
Sn: 0.000 0.500 0.000
Sn: 0.000 0.500 0.500
Sn: 0.500 0.000 0.000
Sn: 0.500 0.000 0.500
I: 0.000 0.000 0.322
I: 0.000 0.000 0.678
I: 0.500 0.500 0.178
I: 0.500 0.500 0.822



6.
DFT (GGA-PBE) results for an optimized crystal structure of Pr2SnI.

SG: No. 59
Formation energy (no corrections): -0.82 eV per atom
Total magnetic moment: 0.00 μB/cell
Excess energy over the best structure of this formula in the dataset: 76.0 meV/atom
Calculated density: 6.09 g/cm3

Lattice parameters (Å, degrees): 4.599 7.821 7.992 90.00 90.00 90.00
Element x y z (fractional)
Pr: 0.250 0.005 0.220
Pr: 0.250 0.495 0.220
Pr: 0.750 0.505 0.780
Pr: 0.750 0.995 0.780
Sn: 0.250 0.750 0.909
Sn: 0.750 0.250 0.091
I: 0.250 0.250 0.579
I: 0.750 0.750 0.421